Mo2P2PbO12: relaxed, PBE+U.

Computed properties:
Electronic total energy ... -7.009 eV per atom
D(E_F) ... 0.00 states/eV/f.u.

Unit cell a=6.442 b=12.095 c=12.597 alpha=90.00 beta=90.00 gamma=91.37
Fractional positions:
Mo: 0.753 0.904 0.128
Mo: 0.247 0.596 0.628
Mo: 0.749 0.902 0.615
Mo: 0.753 0.404 0.372
Mo: 0.251 0.098 0.385
Mo: 0.247 0.096 0.872
Mo: 0.251 0.598 0.115
Mo: 0.749 0.402 0.885
P: 0.754 0.613 0.563
P: 0.246 0.961 0.624
P: 0.754 0.113 0.937
P: 0.246 0.887 0.063
P: 0.754 0.039 0.376
P: 0.246 0.461 0.876
P: 0.754 0.539 0.124
P: 0.246 0.387 0.437
Pb: 0.996 0.770 0.377
Pb: 0.996 0.270 0.123
Pb: 0.004 0.230 0.623
Pb: 0.004 0.730 0.877
O: 0.767 0.833 0.008
O: 0.554 0.602 0.092
O: 0.762 0.023 0.256
O: 0.932 0.582 0.640
O: 0.781 0.044 0.636
O: 0.233 0.667 0.508
O: 0.758 0.846 0.742
O: 0.785 0.562 0.452
O: 0.215 0.438 0.548
O: 0.552 0.573 0.619
O: 0.219 0.456 0.136
O: 0.068 0.418 0.360
O: 0.742 0.299 0.277
O: 0.448 0.927 0.119
O: 0.785 0.062 0.048
O: 0.446 0.898 0.592
O: 0.238 0.977 0.744
O: 0.754 0.240 0.958
O: 0.554 0.102 0.408
O: 0.939 0.116 0.413
O: 0.761 0.928 0.437
O: 0.939 0.616 0.087
O: 0.233 0.167 0.992
O: 0.068 0.918 0.140
O: 0.761 0.428 0.063
O: 0.754 0.740 0.542
O: 0.238 0.477 0.756
O: 0.742 0.799 0.223
O: 0.258 0.201 0.777
O: 0.932 0.082 0.860
O: 0.446 0.398 0.908
O: 0.239 0.072 0.563
O: 0.215 0.938 0.952
O: 0.552 0.073 0.881
O: 0.219 0.956 0.364
O: 0.239 0.572 0.937
O: 0.242 0.154 0.258
O: 0.246 0.760 0.042
O: 0.242 0.654 0.242
O: 0.448 0.427 0.381
O: 0.258 0.701 0.723
O: 0.767 0.333 0.492
O: 0.762 0.523 0.244
O: 0.781 0.544 0.864
O: 0.246 0.260 0.458
O: 0.758 0.346 0.758
O: 0.061 0.884 0.587
O: 0.061 0.384 0.913